Entry 1:
# Sc2Co2Ag

A relaxed structure of Sc2Co2Ag (PBE, Alexandria via LeMat-Bulk).

Lattice parameters (Å, degrees): 3.397 3.397 7.976 77.70 77.70 90.00
Atoms (fractional coordinates):
Sc1 0.616 0.616 0.769
Co1 0.750 0.250 0.500
Ag1 0.000 0.000 0.000
Co2 0.250 0.750 0.500
Sc2 0.384 0.384 0.231

Space-group type ... I4/mmm
Formation energy ... -0.05 eV per atom
Uncorrected energy ... -5.990 eV/atom

Entry 2:
# YPdSN2

A relaxed structure of YPdSN2 (PBE, Alexandria via LeMat-Bulk).

Lattice parameters (Å, degrees): 4.039 4.039 4.720 90.00 90.00 90.00
Atoms (fractional coordinates):
S1 0.000 0.000 0.500
N1 0.500 0.000 0.000
Pd1 0.000 0.000 0.000
N2 0.000 0.500 0.000
Y1 0.500 0.500 0.500

Space-group type ... P4/mmm
Uncorrected energy ... -6.139 eV/atom

Entry 3:
# Na2CaCo

A relaxed structure of Na2CaCo (PBE, Alexandria via LeMat-Bulk).

Lattice parameters (Å, degrees): 5.235 5.235 5.235 60.00 60.00 60.00
Atoms (fractional coordinates):
Ca1 0.000 0.000 0.000
Co1 0.500 0.500 0.500
Na1 0.750 0.750 0.750
Na2 0.250 0.250 0.250

Space-group type ... Fm-3m
Formation energy ... 0.64 eV per atom
Uncorrected energy ... -2.295 eV/atom

Entry 4:
# Ho3ErMg4

A relaxed structure of Ho3ErMg4 (PBE, Alexandria via LeMat-Bulk).

Lattice parameters (Å, degrees): 3.416 7.986 9.248 110.26 100.64 90.00
Atoms (fractional coordinates):
Mg1 0.348 0.552 0.696
Mg2 0.378 0.202 0.755
Ho1 0.198 0.150 0.395
Ho2 0.802 0.850 0.605
Ho3 0.000 0.500 0.000
Mg3 0.652 0.448 0.304
Mg4 0.622 0.798 0.245
Er1 0.500 0.000 0.000

Space-group type ... C2/m
Formation energy ... 0.17 eV per atom
Uncorrected energy ... -2.914 eV/atom

Entry 5:
# KBaAu3

A relaxed structure of KBaAu3 (PBE, Alexandria via LeMat-Bulk).

Lattice parameters (Å, degrees): 5.732 5.732 5.732 90.00 90.00 90.00
Atoms (fractional coordinates):
Au1 0.000 0.500 0.000
Au2 0.500 0.000 0.000
Au3 0.000 0.000 0.500
Ba1 0.500 0.500 0.500
K1 0.000 0.000 0.000

Space-group type ... Pm-3m
Formation energy ... 0.03 eV per atom
Uncorrected energy ... -2.545 eV/atom

Entry 6:
# K3NpS4

A relaxed structure of K3NpS4 (PBE, Alexandria via LeMat-Bulk).

Lattice parameters (Å, degrees): 7.218 7.794 8.794 90.00 90.00 109.60
Atoms (fractional coordinates):
S1 0.048 0.783 0.322
S2 0.452 0.217 0.322
K1 0.750 0.500 0.622
K2 0.750 0.000 0.385
K3 0.750 0.500 0.116
S3 0.999 0.810 0.902
S4 0.952 0.217 0.678
Np1 0.750 0.000 0.882
S5 0.001 0.190 0.098
S6 0.548 0.783 0.678
K4 0.250 0.500 0.884
K5 0.250 0.000 0.615
K6 0.250 0.500 0.378
S7 0.501 0.190 0.902
S8 0.499 0.810 0.098
Np2 0.250 0.000 0.118

Space-group type ... P2/c
Uncorrected energy ... -5.365 eV/atom

Entry 7:
# ZnSiMo

A relaxed structure of ZnSiMo (PBE, Alexandria via LeMat-Bulk).

Lattice parameters (Å, degrees): 4.293 4.293 2.644 90.00 90.00 120.00
Atoms (fractional coordinates):
Zn1 0.333 0.667 0.501
Mo1 0.000 0.000 0.001
Si1 0.667 0.333 0.498

Space-group type ... P3m1
Uncorrected energy ... -5.777 eV/atom

Entry 8:
# LiOsBr2

A relaxed structure of LiOsBr2 (PBE, Alexandria via LeMat-Bulk).

Lattice parameters (Å, degrees): 5.326 5.326 4.422 89.99 89.99 35.45
Atoms (fractional coordinates):
Br1 0.750 0.750 0.625
Os1 0.268 0.268 0.125
Br2 0.020 0.020 0.125
Li1 0.462 0.462 0.625

Space-group type ... Amm2
Uncorrected energy ... -3.814 eV/atom

no.,theoretical density (g cm⁻³),polymorph energy (0 for the lowest one) (eV/atom)
1,5.97,0.179
2,5.51,0.000
3,2.37,0.073
4,5.43,0.244
5,6.77,0.582
6,3.44,0.000
7,7.45,0.055
8,8.15,0.223